DFT (PBE) results for a geometry-optimized Ho7Er2 structure.

POSCAR file:
```
Ho7Er2
1.0
9.565 0.000 0.000
-4.782 8.284 0.000
0.000 0.000 3.514
Ho Er
7 2
direct
0.000 0.000 0.000 Ho
0.000 0.304 0.500 Ho
0.000 0.638 0.000 Ho
0.304 0.000 0.500 Ho
0.362 0.362 0.000 Ho
0.638 0.000 0.000 Ho
0.696 0.696 0.500 Ho
0.333 0.667 0.500 Er
0.667 0.333 0.500 Er
```

Summary:
E (eV/cell): -40.81
DOS(E_F) (states/eV/atom): 1.8585
Offset from the most stable computed form (meV/atom): 15
Formation energy (eV per atom): 0.040
Symmetry: P-62m